First-principles (PBE-GGA) data for a geometry-optimized CsCr3Si structure, as listed in Alexandria via LeMat-Bulk.

Results
- DOS at the Fermi energy (states/eV per cell) = 5.52
- ΔE_f (raw) (eV per atom) = 2.74
- calculated volume (Å³ per atom) = 27.36
- calculated total energy (eV for the cell shown) = -21.45

extended XYZ file:
```
5
Lattice="5.1524 0.0000 0.0000 0.0000 5.1524 0.0000 0.0000 0.0000 5.1524" Properties=species:S:1:pos:R:3 pbc="T T T"
Cs 0.0000 0.0000 0.0000
Cr 0.0000 0.0000 2.5762
Cr 0.0000 2.5762 0.0000
Cr 2.5762 0.0000 0.0000
Si 2.5762 2.5762 2.5762
```

=====

First-principles (PBE-GGA) data for a geometry-optimized TiRuPb2O6 structure, as listed in Alexandria via LeMat-Bulk.

Results
- DOS at the Fermi energy (states/eV per cell) = 3.59
- ΔE_f (raw) (eV per atom) = -1.56
- calculated volume (Å³ per atom) = 13.42
- calculated total energy (eV for the cell shown) = -139.80

extended XYZ file:
```
20
Lattice="2.8767 1.6609 9.3616 -2.8767 1.6609 9.3616 0.0000 -3.3217 9.3616" Properties=species:S:1:pos:R:3 pbc="T T T"
Ti 0.0000 0.0000 0.0000
Ti 0.0000 0.0000 14.0424
Ru 0.0000 0.0000 2.5533
Ru 0.0000 0.0000 25.5315
Pb 0.0000 0.0000 6.3209
Pb 0.0000 0.0000 10.6813
Pb 0.0000 0.0000 17.4035
Pb 0.0000 0.0000 21.7639
O 0.0000 -1.7483 8.1161
O -1.5141 0.8741 8.1161
O -1.3852 -0.7998 15.2047
O 0.0000 -1.5995 12.8801
O -1.3852 0.7998 12.8801
O -1.5141 -0.8741 19.9687
O 1.5141 0.8741 8.1161
O 1.3852 -0.7998 15.2047
O 0.0000 1.5995 15.2047
O 1.3852 0.7998 12.8801
O 1.5141 -0.8741 19.9687
O 0.0000 1.7483 19.9687
```

=====

First-principles (PBE-GGA) data for a geometry-optimized RuI2Cl structure, as listed in Alexandria via LeMat-Bulk.

Results
- polymorph energy (0 for the lowest one) (eV per atom) = 0.000
- DOS at the Fermi energy (states/eV per cell) = 8.65
- ΔE_f (raw) (eV per atom) = 0.26
- calculated volume (Å³ per atom) = 32.67
- calculated total energy (eV for the cell shown) = -26.36

extended XYZ file:
```
8
Lattice="-3.7130 3.7130 4.7401 3.7130 -3.7130 4.7401 3.7130 3.7130 -4.7401" Properties=species:S:1:pos:R:3 pbc="T T T"
Ru 0.0000 0.0000 0.0000
Ru 0.0000 3.7130 2.3700
I 5.5694 1.2727 -1.1850
I 1.2727 1.8565 1.1850
I -1.8565 2.4402 3.5550
I 2.4402 1.8565 5.9251
Cl 3.7130 0.0000 2.3700
Cl 0.0000 0.0000 4.7401
```

=====

First-principles (PBE-GGA) data for a geometry-optimized La3Tb8Tm2 structure, as listed in Alexandria via LeMat-Bulk.

Results
- DOS at the Fermi energy (states/eV per cell) = 20.77
- calculated volume (Å³ per atom) = 34.18
- energy of formation from the pure elements (eV/atom) = 0.242
- calculated total energy (eV for the cell shown) = -57.62

extended XYZ file:
```
13
Lattice="10.0737 -3.8818 0.0000 10.0737 3.8818 0.0000 -0.0046 0.0000 5.6821" Properties=species:S:1:pos:R:3 pbc="T T T"
La 0.0000 0.0000 0.0000
La 10.0714 1.5671 2.8410
La 10.0714 -1.5671 2.8410
Tb 2.7673 0.0000 2.8376
Tb 7.8429 1.6171 5.6804
Tb 6.5505 0.0000 2.8346
Tb 12.2999 1.6171 0.0017
Tb 7.8429 -1.6171 5.6804
Tb 13.5923 0.0000 2.8475
Tb 12.2999 -1.6171 0.0017
Tb 17.3755 0.0000 2.8445
Tm 4.8513 0.0000 5.6743
Tm 15.2915 0.0000 0.0078
```

=====

First-principles (PBE-GGA) data for a geometry-optimized Pa3C2S structure, as listed in Alexandria via LeMat-Bulk.

Results
- polymorph energy (0 for the lowest one) (eV per atom) = 0.658
- DOS at the Fermi energy (states/eV per cell) = 26.98
- ΔE_f (raw) (eV per atom) = -0.19
- calculated volume (Å³ per atom) = 19.31
- calculated total energy (eV for the cell shown) = -208.78

extended XYZ file:
```
24
Lattice="0.0000 6.1422 6.1422 6.1422 0.0000 6.1422 6.1422 6.1422 0.0000" Properties=species:S:1:pos:R:3 pbc="T T T"
Pa 4.6066 4.6066 1.2329
Pa 4.6066 1.2329 4.6066
Pa 7.9804 4.6066 4.6066
Pa 7.6777 7.6777 4.3040
Pa 7.6777 4.3040 7.6777
Pa 11.0515 7.6777 7.6777
Pa 1.2329 4.6066 4.6066
Pa 4.6066 7.9804 4.6066
Pa 4.6066 4.6066 7.9804
Pa 4.3040 7.6777 7.6777
Pa 7.6777 11.0515 7.6777
Pa 7.6777 7.6777 11.0515
C 9.4648 5.8906 5.8906
C 2.8195 2.8195 2.8195
C 6.3938 6.3938 2.8195
C 6.3938 2.8195 6.3938
C 5.8906 9.4648 5.8906
C 5.8906 5.8906 9.4648
C 9.4648 9.4648 9.4648
C 2.8195 6.3938 6.3938
S 6.1422 3.0711 3.0711
S 3.0711 6.1422 3.0711
S 3.0711 3.0711 6.1422
S 6.1422 6.1422 6.1422
```

=====

First-principles (PBE-GGA) data for a geometry-optimized Zr4CuTc structure, as listed in Alexandria via LeMat-Bulk.

Results
- polymorph energy (0 for the lowest one) (eV per atom) = 0.000
- DOS at the Fermi energy (states/eV per cell) = 6.59
- calculated volume (Å³ per atom) = 19.65
- energy of formation from the pure elements (eV/atom) = -0.181
- calculated total energy (eV for the cell shown) = -49.74

extended XYZ file:
```
6
Lattice="3.2918 0.0000 0.0000 0.0000 3.2918 0.0000 0.0000 0.0000 10.8817" Properties=species:S:1:pos:R:3 pbc="T T T"
Zr 0.0000 0.0000 1.6161
Zr 0.0000 0.0000 9.2656
Zr 1.6459 1.6459 3.7355
Zr 1.6459 1.6459 7.1462
Cu 0.0000 0.0000 5.4409
Tc 1.6459 1.6459 0.0000
```

=====

First-principles (PBE-GGA) data for a geometry-optimized BaMn2Ir structure, as listed in Alexandria via LeMat-Bulk.

Results
- DOS at the Fermi energy (states/eV per cell) = 1.94
- calculated volume (Å³ per atom) = 24.05
- energy of formation from the pure elements (eV/atom) = 0.444
- calculated total energy (eV for the cell shown) = -27.35

extended XYZ file:
```
4
Lattice="-1.6635 2.1165 6.8309 1.6635 -2.1165 6.8309 1.6635 2.1165 -6.8309" Properties=species:S:1:pos:R:3 pbc="T T T"
Ba 0.0000 0.0000 0.0000
Mn 0.0000 0.0000 4.6809
Mn 0.0000 2.1165 2.8972
Ir 1.6635 0.0000 2.7881
```

=====

First-principles (PBE-GGA) data for a geometry-optimized NdTiTl2 structure, as listed in Alexandria via LeMat-Bulk.

Results
- DOS at the Fermi energy (states/eV per cell) = 3.86
- calculated volume (Å³ per atom) = 24.99
- energy of formation from the pure elements (eV/atom) = -0.051
- calculated total energy (eV for the cell shown) = -17.60

extended XYZ file:
```
4
Lattice="3.7118 0.0000 0.0000 0.0000 3.7118 0.0000 0.0000 0.0000 7.2540" Properties=species:S:1:pos:R:3 pbc="T T T"
Nd 0.0000 0.0000 0.0000
Ti 0.0000 0.0000 3.6270
Tl 1.8559 1.8559 2.0661
Tl 1.8559 1.8559 5.1879
```